# GGA-PBE ZnAgTe2, optimized geometry
data_ZnAgTe2
_space_group_name_H-M_alt 'P m m m'
_space_group_IT_number 47
_cell_length_a 3.902
_cell_length_b 4.016
_cell_length_c 7.151
_cell_angle_alpha 90.00
_cell_angle_beta 90.00
_cell_angle_gamma 90.00
loop_
_space_group_symop_operation_xyz
'x,y,z'
'-x,-y,-z'
'-x,-y,z'
'x,y,-z'
'x,-y,-z'
'-x,y,z'
'-x,y,-z'
'x,-y,z'
loop_
_atom_site_label
_atom_site_fract_x
_atom_site_fract_y
_atom_site_fract_z
_atom_site_occupancy
Zn1 0.000 0.000 0.000 1
Ag1 0.000 0.500 0.500 1
Te1 0.500 0.000 0.500 1
Te2 0.500 0.500 0.000 1
# ΔE to the lowest computed polymorph = 304.7 meV/atom
# formation energy from raw total energies = 126 meV per atom
# density of states at the Fermi level = 1.925 states/eV per cell
# M_tot = 0.0 μB per cell
# crystal system = orthorhombic



# GGA-PBE ZnAgTe2, optimized geometry
data_ZnAgTe2
_space_group_name_H-M_alt 'R -3 m'
_space_group_IT_number 166
_space_group_name_Hall '-R 3 2"'
_cell_length_a 4.0771
_cell_length_b 4.0771
_cell_length_c 20.3753
_cell_angle_alpha 90.00
_cell_angle_beta 90.00
_cell_angle_gamma 120.00
loop_
_atom_site_label
_atom_site_fract_x
_atom_site_fract_y
_atom_site_fract_z
_atom_site_occupancy
Zn1 0.0000 0.0000 0.0000 1
Ag1 0.0000 0.0000 0.5000 1
Te1 0.0000 0.0000 0.2534 1
# ΔE to the lowest computed polymorph = 92.1 meV/atom
# formation energy from raw total energies = -87 meV per atom
# density of states at the Fermi level = 5.393 states/eV per cell
# M_tot = 0.0 μB per cell
# crystal system = trigonal



# GGA-PBE ZnAgTe2, optimized geometry
data_ZnAgTe2
_space_group_name_H-M_alt 'P 4 m m'
_space_group_IT_number 99
_cell_length_a 3.115
_cell_length_b 3.115
_cell_length_c 10.452
_cell_angle_alpha 90.00
_cell_angle_beta 90.00
_cell_angle_gamma 90.00
loop_
_space_group_symop_operation_xyz
'x,y,z'
'-y,x,z'
'-x,-y,z'
'y,-x,z'
'-x,y,z'
'y,x,z'
'x,-y,z'
'-y,-x,z'
loop_
_atom_site_label
_atom_site_fract_x
_atom_site_fract_y
_atom_site_fract_z
_atom_site_occupancy
Zn1 0.000 0.000 0.000 1
Ag1 0.500 0.500 0.161 1
Te1 0.000 0.000 0.403 1
Te2 0.500 0.500 0.767 1
# ΔE to the lowest computed polymorph = 331.8 meV/atom
# formation energy from raw total energies = 153 meV per atom
# density of states at the Fermi level = 2.690 states/eV per cell
# M_tot = 0.0 μB per cell
# crystal system = tetragonal



# GGA-PBE ZnAgTe2, optimized geometry
data_ZnAgTe2
_space_group_name_H-M_alt 'R -3 m'
_space_group_IT_number 166
_space_group_name_Hall '-R 3 2"'
_cell_length_a 3.9975
_cell_length_b 3.9975
_cell_length_c 25.4424
_cell_angle_alpha 90.00
_cell_angle_beta 90.00
_cell_angle_gamma 120.00
loop_
_atom_site_label
_atom_site_fract_x
_atom_site_fract_y
_atom_site_fract_z
_atom_site_occupancy
Zn1 0.0000 0.0000 0.0000 1
Ag1 0.0000 0.0000 0.5000 1
Te1 0.0000 0.0000 0.3958 1
# ΔE to the lowest computed polymorph = 184.9 meV/atom
# formation energy from raw total energies = 6 meV per atom
# density of states at the Fermi level = 6.357 states/eV per cell
# M_tot = 0.0 μB per cell
# crystal system = trigonal



# GGA-PBE ZnAgTe2, optimized geometry
data_ZnAgTe2
_space_group_name_H-M_alt 'F -4 3 m'
_space_group_IT_number 216
_space_group_name_Hall 'F -4 2 3'
_cell_length_a 7.288
_cell_length_b 7.288
_cell_length_c 7.288
_cell_angle_alpha 90.00
_cell_angle_beta 90.00
_cell_angle_gamma 90.00
loop_
_atom_site_label
_atom_site_fract_x
_atom_site_fract_y
_atom_site_fract_z
_atom_site_occupancy
Zn1 0.000 0.000 0.000 1
Ag1 0.250 0.250 0.250 1
Te1 0.000 0.000 0.500 1
Te2 0.250 0.250 0.750 1
# ΔE to the lowest computed polymorph = 505.8 meV/atom
# formation energy from raw total energies = 327 meV per atom
# density of states at the Fermi level = 6.007 states/eV per cell
# M_tot = 0.0 μB per cell
# crystal system = cubic



# GGA-PBE ZnAgTe2, optimized geometry
data_ZnAgTe2
_space_group_name_H-M_alt 'C 1 2/m 1'
_space_group_IT_number 12
_cell_length_a 6.245
_cell_length_b 8.182
_cell_length_c 4.571
_cell_angle_alpha 90.00
_cell_angle_beta 118.78
_cell_angle_gamma 90.00
loop_
_space_group_symop_operation_xyz
'x,y,z'
'-x,-y,-z'
'-x,y,-z'
'x,-y,z'
'x+1/2,y+1/2,z'
'-x+1/2,-y+1/2,-z'
'-x+1/2,y+1/2,-z'
'x+1/2,-y+1/2,z'
loop_
_atom_site_label
_atom_site_fract_x
_atom_site_fract_y
_atom_site_fract_z
_atom_site_occupancy
Zn1 0.000 0.000 0.000 1
Ag1 0.000 0.500 0.000 1
Te1 0.250 0.250 0.500 1
# ΔE to the lowest computed polymorph = 192.3 meV/atom
# formation energy from raw total energies = 13 meV per atom
# density of states at the Fermi level = 2.436 states/eV per cell
# M_tot = 0.0 μB per cell
# crystal system = monoclinic